This record from Alexandria describes a relaxed Li12PrGa4 crystal. The functional is PBE-GGA.

The structure belongs to space group Im-3 (No. 204); the cell edges are 8.936, 8.936 and 8.936 Å and the angles 90.00°, 90.00° and 90.00°. Symmetry generates all atoms from Li at (0.000, 0.351, 0.162), Pr at (0.000, 0.000, 0.000) and Ga at (0.250, 0.250, 0.250).

Its raw total energy is -2.279 eV per atom. For the density, the calculation gives 2.3 g cm⁻³. The magnetization is 0.000 μB per cell. Its formation energy is 6.3 kJ per mole of atoms.

---

This record from Alexandria describes a relaxed LiPr2Ga crystal. The functional is PBE-GGA.

The structure belongs to space group Fm-3m (No. 225); the cell edges are 7.495, 7.495 and 7.495 Å and the angles 90.00°, 90.00° and 90.00°. Symmetry generates all atoms from Li at (0.000, 0.000, 0.000), Pr at (0.250, 0.250, 0.250) and Ga at (0.000, 0.000, 0.500).

Its raw total energy is -3.916 eV per atom. For the density, the calculation gives 5.7 g cm⁻³. The magnetization is 0.000 μB per cell. Its formation energy is -28.1 kJ per mole of atoms.

---

Which value of magnetization does entry 1 give? 0.000 μB per cell